# CaAc3Ce2Se6

A relaxed CaAc3Ce2Se6 crystal (GGA-PBE, Alexandria via LeMat-Bulk).

Structure (POSCAR):
```
CaAc3Ce2Se6
1.0
3.7546 -6.5112 0.0000
3.7546 6.5112 0.0000
-2.5099 0.0000 7.1087
Ca Ac Ce Se
1 3 2 6
Cartesian
0.0000 0.0000 0.0000 Ca
2.4996 4.3304 3.5544 Ac
2.4996 0.0000 3.5544 Ac
2.4996 -4.3304 3.5544 Ac
3.7546 2.1633 0.0000 Ce
3.7546 -2.1633 0.0000 Ce
1.2344 2.1471 1.6431 Se
-0.0355 0.0000 5.4614 Se
1.2344 -2.1471 1.6431 Se
3.7648 2.1471 5.4656 Se
5.0347 0.0000 1.6473 Se
3.7648 -2.1471 5.4656 Se
```

* crystal system: monoclinic
* uncorrected energy: -5.771 eV/atom
* space group: No. 12
* formation energy (no corrections): -22.15 eV/f.u.


# HoGa2Ni9

A relaxed HoGa2Ni9 crystal (GGA-PBE, Alexandria via LeMat-Bulk).

Structure (POSCAR):
```
HoGa2Ni9
1.0
8.0396 0.0000 0.0000
-4.0198 6.9625 0.0000
0.0000 0.0000 2.7187
Ho Ga Ni
1 2 9
Cartesian
0.0000 0.0000 0.0000 Ho
0.0000 4.6417 0.0000 Ga
4.0198 2.3208 0.0000 Ga
-2.0099 3.4813 0.0000 Ni
0.0000 2.5531 1.3593 Ni
-1.8088 5.6860 1.3593 Ni
2.2110 1.2765 1.3593 Ni
4.0198 0.0000 0.0000 Ni
2.0099 3.4813 0.0000 Ni
1.8088 5.6860 1.3593 Ni
5.8286 1.2765 1.3593 Ni
4.0198 4.4095 1.3593 Ni
```

* crystal system: hexagonal
* uncorrected energy: -5.329 eV/atom
* space group: No. 191
* excess energy over the best structure of this formula in the dataset: 181 meV/atom
* energy relative to the elements: -107 meV per atom


# Y2ZrAlRu

A relaxed Y2ZrAlRu crystal (GGA-PBE, Alexandria via LeMat-Bulk).

Structure (POSCAR):
```
Y2ZrAlRu
1.0
5.3041 0.0000 0.0000
0.0000 5.3041 0.0000
0.0000 0.0000 4.9650
Y Zr Al Ru
2 1 1 1
Cartesian
0.0000 2.6520 0.0000 Y
2.6520 0.0000 0.0000 Y
0.0000 0.0000 2.4825 Zr
2.6520 2.6520 2.4825 Al
0.0000 0.0000 0.0000 Ru
```

* crystal system: tetragonal
* uncorrected energy: -6.791 eV/atom
* space group: No. 123
* energy relative to the elements: 108 meV per atom


# AgTeN2F

A relaxed AgTeN2F crystal (GGA-PBE, Alexandria via LeMat-Bulk).

Structure (POSCAR):
```
AgTeN2F
1.0
4.6391 0.0000 0.0000
0.0000 4.6391 0.0000
0.0000 0.0000 4.2109
Ag Te N F
1 1 2 1
Cartesian
0.0000 0.0000 0.0000 Ag
2.3196 2.3196 0.0000 Te
0.0000 2.3196 2.1055 N
2.3196 0.0000 2.1055 N
2.3196 2.3196 2.1055 F
```

* crystal system: tetragonal
* uncorrected energy: -3.049 eV/atom
* space group: No. 123
* excess energy over the best structure of this formula in the dataset: 1081 meV/atom
* formation energy (no corrections): 9.27 eV/f.u.


# BaCaIn

A relaxed BaCaIn crystal (GGA-PBE, Alexandria via LeMat-Bulk).

Structure (POSCAR):
```
BaCaIn
1.0
0.0000 4.0461 4.0461
4.0461 0.0000 4.0461
4.0461 4.0461 0.0000
Ba Ca In
1 1 1
Cartesian
0.0000 0.0000 0.0000 Ba
4.0461 4.0461 4.0461 Ca
6.0691 6.0691 6.0691 In
```

* crystal system: cubic
* uncorrected energy: -2.423 eV/atom
* space group: No. 216
* energy relative to the elements: -202 meV per atom


# Pr3Ho2Mg

A relaxed Pr3Ho2Mg crystal (GGA-PBE, Alexandria via LeMat-Bulk).

Structure (POSCAR):
```
Pr3Ho2Mg
1.0
10.5249 -1.8581 0.0000
10.5249 1.8581 0.0000
-5.9724 0.0000 10.0080
Pr Ho Mg
6 4 2
Cartesian
-0.9778 0.0000 4.2144 Pr
3.0948 0.0000 3.6994 Pr
6.6523 0.0000 2.7392 Pr
8.4250 0.0000 7.2688 Pr
11.9826 0.0000 6.3086 Pr
16.0552 0.0000 5.7936 Pr
-4.3524 0.0000 9.3310 Ho
0.4292 0.0000 9.1417 Ho
14.6481 0.0000 0.8663 Ho
19.4298 0.0000 0.6769 Ho
3.7206 0.0000 8.0521 Mg
11.3568 0.0000 1.9559 Mg
```

* crystal system: monoclinic
* uncorrected energy: -4.177 eV/atom
* space group: No. 12
* excess energy over the best structure of this formula in the dataset: 20 meV/atom
* energy relative to the elements: 5 meV per atom


# Sm3Y6Ho2

A relaxed Sm3Y6Ho2 crystal (GGA-PBE, Alexandria via LeMat-Bulk).

Structure (POSCAR):
```
Sm3Y6Ho2
1.0
1.7904 1.0337 32.0152
-1.7904 1.0337 32.0152
0.0000 -2.0674 32.0152
Sm Y Ho
3 6 2
Cartesian
0.0000 0.0000 0.0000 Sm
0.0000 0.0000 26.1608 Sm
0.0000 0.0000 69.8847 Sm
0.0000 0.0000 8.7899 Y
0.0000 0.0000 17.4650 Y
0.0000 0.0000 34.9416 Y
0.0000 0.0000 61.1040 Y
0.0000 0.0000 78.5805 Y
0.0000 0.0000 87.2556 Y
0.0000 0.0000 43.6828 Ho
0.0000 0.0000 52.3627 Ho
```

* crystal system: trigonal
* uncorrected energy: -5.626 eV/atom
* space group: No. 166
* energy relative to the elements: 20 meV per atom


# MnSbSe

A relaxed MnSbSe crystal (GGA-PBE, Alexandria via LeMat-Bulk).

Structure (POSCAR):
```
MnSbSe
1.0
-1.5045 1.5045 6.8788
1.5045 -1.5045 6.8788
1.5045 1.5045 -6.8788
Mn Sb Se
1 1 1
Cartesian
0.0000 0.0000 0.0000 Mn
0.0000 0.0000 8.7525 Sb
0.0000 0.0000 5.5700 Se
```

* crystal system: tetragonal
* uncorrected energy: -5.551 eV/atom
* space group: No. 107
* formation energy (no corrections): 0.12 eV/f.u.


# AcLa3Al

A relaxed AcLa3Al crystal (GGA-PBE, Alexandria via LeMat-Bulk).

Structure (POSCAR):
```
AcLa3Al
1.0
3.8850 0.0000 0.0000
-0.0024 9.1612 0.0000
-1.9421 -2.3776 9.7445
Ac La Al
2 6 2
Cartesian
-0.0106 -0.1058 1.8679 Ac
1.9511 6.8894 7.8766 Ac
0.0067 0.2583 5.8631 La
0.0002 4.1429 6.1193 La
0.0003 3.9577 9.6986 La
1.9401 2.8259 0.0458 La
1.9402 2.6407 3.6252 La
1.9338 6.5253 3.8814 La
-0.0038 4.7067 2.0419 Al
1.9442 2.0768 7.7025 Al
```

* crystal system: triclinic
* uncorrected energy: -4.653 eV/atom
* space group: No. 2
* excess energy over the best structure of this formula in the dataset: 0 meV/atom
* energy relative to the elements: -126 meV per atom


# RbBa2Na2Bi2

A relaxed RbBa2Na2Bi2 crystal (GGA-PBE, Alexandria via LeMat-Bulk).

Structure (POSCAR):
```
RbBa2Na2Bi2
1.0
2.8095 1.6220 11.1479
-2.8095 1.6220 11.1479
0.0000 -3.2441 11.1479
Rb Ba Na Bi
1 2 2 2
Cartesian
0.0000 0.0000 0.0000 Rb
0.0000 0.0000 4.3390 Ba
0.0000 0.0000 29.1045 Ba
0.0000 0.0000 13.4700 Na
0.0000 0.0000 19.9736 Na
0.0000 0.0000 8.3585 Bi
0.0000 0.0000 25.0850 Bi
```

* crystal system: trigonal
* uncorrected energy: -2.700 eV/atom
* space group: No. 166
* energy relative to the elements: -527 meV per atom


# Dy6Sn2Pd

A relaxed Dy6Sn2Pd crystal (GGA-PBE, Alexandria via LeMat-Bulk).

Structure (POSCAR):
```
Dy6Sn2Pd
1.0
8.5651 0.0000 0.0000
-4.2826 7.4176 0.0000
0.0000 0.0000 3.9086
Dy Sn Pd
6 2 1
Cartesian
-1.0620 1.8395 0.0000 Dy
-2.5671 4.4464 1.9543 Dy
2.1241 0.0000 0.0000 Dy
1.7155 2.9713 1.9543 Dy
5.1342 0.0000 1.9543 Dy
3.2205 5.5781 0.0000 Dy
0.0000 4.9451 0.0000 Sn
4.2826 2.4725 0.0000 Sn
0.0000 0.0000 1.9543 Pd
```

* crystal system: hexagonal
* uncorrected energy: -5.107 eV/atom
* space group: No. 189
* energy relative to the elements: -572 meV per atom


# Rb4Ce3TiS8

A relaxed Rb4Ce3TiS8 crystal (GGA-PBE, Alexandria via LeMat-Bulk).

Structure (POSCAR):
```
Rb4Ce3TiS8
1.0
4.0984 2.3662 7.6824
-4.0984 2.3662 7.6824
0.0000 -4.7324 7.6824
Rb Ce Ti S
4 3 1 8
Cartesian
0.0000 0.0000 0.0000 Rb
-2.0492 -1.1831 7.6824 Rb
-2.0492 1.1831 15.3648 Rb
0.0000 2.3662 7.6824 Rb
-4.0984 0.0000 11.5236 Ce
-2.0492 1.1831 3.8412 Ce
2.0492 1.1831 3.8412 Ce
0.0000 0.0000 11.5236 Ti
0.0000 0.0000 5.3786 S
-1.9294 -1.1140 12.9693 S
0.0000 -2.2279 10.0779 S
-1.9294 1.1140 10.0779 S
1.9294 -1.1140 12.9693 S
0.0000 2.2279 12.9693 S
1.9294 1.1140 10.0779 S
0.0000 0.0000 17.6686 S
```

* crystal system: trigonal
* uncorrected energy: -5.524 eV/atom
* space group: No. 166
* formation energy (no corrections): -25.79 eV/f.u.


Question: uncorrected energy of number 4 (AgTeN2F)?
Answer: -3.049 eV/atom


Question: Number 12 is which compound?
Answer: Rb4Ce3TiS8


Question: Which value of uncorrected energy does entry 8 give?
Answer: -5.551 eV/atom


What did the third record say?
# Y2ZrAlRu

A relaxed Y2ZrAlRu crystal (GGA-PBE, Alexandria via LeMat-Bulk).

Structure (POSCAR):
```
Y2ZrAlRu
1.0
5.3041 0.0000 0.0000
0.0000 5.3041 0.0000
0.0000 0.0000 4.9650
Y Zr Al Ru
2 1 1 1
Cartesian
0.0000 2.6520 0.0000 Y
2.6520 0.0000 0.0000 Y
0.0000 0.0000 2.4825 Zr
2.6520 2.6520 2.4825 Al
0.0000 0.0000 0.0000 Ru
```

* crystal system: tetragonal
* uncorrected energy: -6.791 eV/atom
* space group: No. 123
* energy relative to the elements: 108 meV per atom